Entry 1:
Density functional theory data (PBE) for an optimized crystal structure of La2PrTcN4.

Cell lengths 3.5727, 12.2399, 12.3385 Å; angles 90.00, 90.00, 90.00 degrees
With the nearest neighbours (Å) after each atom.
Space group Cmcm (No. 63)
Inequivalent atoms, fractional coordinates:
1 La 0.0000 0.1320 0.0404 (multiplicity 8)  6 N 2.46-2.75
2 Pr 0.0000 0.3775 0.2500 (multiplicity 4)  4 N 2.61
3 Tc 0.0000 0.3503 0.7500 (multiplicity 4)  4 N 2.00-2.02
4 N 0.0000 0.0770 0.2500 (multiplicity 4)  2 Tc 2.00
5 N 0.0000 0.2294 0.6386 (multiplicity 8)  1 Tc 2.02
6 N 0.0000 0.5000 0.0000 (multiplicity 4)  4 La 2.46

- E_form (uncorrected): -0.894 eV/atom

Entry 2:
Density functional theory data (PBE) for an optimized crystal structure of TaHAu.

Cell lengths 3.2127, 3.2127, 4.4259 Å; angles 90.00, 90.00, 120.00 degrees
With the nearest neighbours (Å) after each atom.
Space group P3m1 (No. 156)
Inequivalent atoms, fractional coordinates:
1 Ta 0.0000 0.0000 0.0000 (multiplicity 1)  3 H 1.85
2 H 0.3333 0.6667 0.9948 (multiplicity 1)  3 Ta 1.85
3 Au 0.6667 0.3333 0.4992 (multiplicity 1)  6 H 2.87-2.90, 6 Ta 2.88-2.89, 6 Au 3.21

- Polymorph energy (0 for the lowest one): 0.0 kJ per mole of atoms

In the order shown, the computed uncorrected energy values come out to -8.182 -6.203 eV/atom.